The following is a DFT calculation (PBE) of a geometry-optimized La2Ta2In structure.

Its energy relative to the elements is 0.26 eV per atom. The calculation puts the energy above the most stable polymorph in this dataset at 0 meV/atom.

The space group is P4/mbm (No. 127) and the conventional cell measures 7.530, 7.530 and 4.660 Å, with angles of 90.00, 90.00 and 90.00 degrees. The inequivalent atoms are La at (0.181, 0.319, 0.000), Ta at (0.123, 0.623, 0.500) and In at (0.000, 0.000, 0.500).

=====

The following is a DFT calculation (PBE) of a geometry-optimized In2SnI5 structure.

The raw formation energy is -0.37 eV per atom. The calculation puts the energy above the most stable polymorph in this dataset at 0 meV/atom.

The space group is P1 (No. 1) and the conventional cell measures 8.311, 8.318 and 8.425 Å, with angles of 61.73, 61.80 and 89.60 degrees. The inequivalent atoms are In at (0.000, 0.000, 0.000), In at (0.457, 0.542, 0.001), Sn at (0.336, 0.878, 0.347), I at (0.088, 0.630, 0.323), I at (0.104, 0.156, 0.275), I at (0.139, 0.682, 0.798), I at (0.614, 0.646, 0.277) and I at (0.638, 0.179, 0.227).

=====

The following is a DFT calculation (PBE) of a geometry-optimized MnRh2Br structure.

The raw formation energy is 0.43 eV per atom. The calculation puts the energy above the most stable polymorph in this dataset at 202 meV/atom.

The space group is Pmmm (No. 47) and the conventional cell measures 3.002, 4.431 and 4.814 Å, with angles of 90.00, 90.00 and 90.00 degrees. The inequivalent atoms are Mn at (0.000, 0.000, 0.000), Rh at (0.000, 0.500, 0.500), Rh at (0.500, 0.500, 0.000) and Br at (0.500, 0.000, 0.500).

=====

The following is a DFT calculation (PBE) of a geometry-optimized NdErAl3 structure.

Its energy relative to the elements is -0.44 eV per atom.

The space group is Cmcm (No. 63) and the conventional cell measures 3.670, 27.652 and 4.562 Å, with angles of 90.00, 90.00 and 90.00 degrees. The inequivalent atoms are Nd at (0.000, 0.073, 0.250), Er at (0.000, 0.211, 0.750), Al at (0.000, 0.326, 0.750), Al at (0.000, 0.379, 0.250) and Al at (0.000, 0.476, 0.250).

=====

The following is a DFT calculation (PBE) of a geometry-optimized K2PS4 structure.

The raw formation energy is -0.60 eV per atom. The calculation puts the energy above the most stable polymorph in this dataset at 89 meV/atom.

The space group is Fmmm (No. 69) and the conventional cell measures 11.499, 14.222 and 14.334 Å, with angles of 90.00, 90.00 and 90.00 degrees. The inequivalent atoms are K at (0.000, 0.000, 0.246), K at (0.000, 0.249, 0.500), P at (0.250, 0.250, 0.250) and S at (0.150, 0.166, 0.333).

=====

The following is a DFT calculation (PBE) of a geometry-optimized Sc5AlRu6 structure.

Its energy relative to the elements is -0.55 eV per atom.

The space group is Immm (No. 71) and the conventional cell measures 4.469, 6.405 and 13.446 Å, with angles of 90.00, 90.00 and 90.00 degrees. The inequivalent atoms are Sc at (0.000, 0.000, 0.000), Sc at (0.000, 0.000, 0.338), Sc at (0.000, 0.500, 0.333), Al at (0.000, 0.500, 0.000), Ru at (0.000, 0.243, 0.500) and Ru at (0.000, 0.253, 0.163).

=====

The following is a DFT calculation (PBE) of a geometry-optimized Nd4MnGa12 structure.

Its energy relative to the elements is -0.54 eV per atom.

The space group is Im-3m (No. 229) and the conventional cell measures 8.787, 8.787 and 8.787 Å, with angles of 90.00, 90.00 and 90.00 degrees. The inequivalent atoms are Nd at (0.250, 0.250, 0.250), Mn at (0.000, 0.000, 0.000), Ga at (0.000, 0.000, 0.288) and Ga at (0.000, 0.250, 0.500).

=====

The following is a DFT calculation (PBE) of a geometry-optimized SmHo5Bi4 structure.

Its energy relative to the elements is -0.55 eV per atom.

The space group is C2/m (No. 12) and the conventional cell measures 19.880, 4.409 and 7.732 Å, with angles of 90.00, 101.61 and 90.00 degrees. The inequivalent atoms are Sm at (0.000, 0.000, 0.000), Ho at (0.000, 0.000, 0.500), Ho at (0.188, 0.500, 0.086), Ho at (0.196, 0.500, 0.612), Bi at (0.063, 0.500, 0.776) and Bi at (0.136, 0.000, 0.327).

=====

The following is a DFT calculation (PBE) of a geometry-optimized Ce2ZnIr3 structure.

Its energy relative to the elements is -0.69 eV per atom. The calculation puts the energy above the most stable polymorph in this dataset at 10 meV/atom.

The space group is P6_3/mmc (No. 194) and the conventional cell measures 5.5822, 5.5822 and 8.1483 Å, with angles of 90.00, 90.00 and 120.00 degrees. The inequivalent atoms are Ce at (0.3333, 0.6667, 0.0665), Zn at (0.0000, 0.0000, 0.0000) and Ir at (0.1682, 0.3365, 0.7500).

=====

The following is a DFT calculation (PBE) of a geometry-optimized NaCe2AlO6 structure.

The raw formation energy is -2.73 eV per atom.

The space group is P4mm (No. 99) and the conventional cell measures 5.234, 5.234 and 5.050 Å, with angles of 90.00, 90.00 and 90.00 degrees. The inequivalent atoms are Na at (0.000, 0.000, 0.000), Ce at (0.000, 0.500, 0.436), Al at (0.500, 0.500, 0.049), O at (0.000, 0.000, 0.574), O at (0.268, 0.268, 0.189) and O at (0.500, 0.500, 0.692).

=====

The following is a DFT calculation (PBE) of a geometry-optimized PrTmScRu structure.

Its energy relative to the elements is -0.30 eV per atom.

The space group is P4mm (No. 99) and the conventional cell measures 3.361, 3.361 and 8.745 Å, with angles of 90.00, 90.00 and 90.00 degrees. The inequivalent atoms are Pr at (0.000, 0.000, 0.000), Tm at (0.500, 0.500, 0.666), Sc at (0.500, 0.500, 0.311) and Ru at (0.000, 0.000, 0.478).

=====

The following is a DFT calculation (PBE) of a geometry-optimized Li2CaCu structure.

Its energy relative to the elements is 0.01 eV per atom. The calculation puts the energy above the most stable polymorph in this dataset at 43 meV/atom.

The space group is Cm (No. 8) and the conventional cell measures 7.663, 4.428 and 5.760 Å, with angles of 90.00, 116.65 and 90.00 degrees. The inequivalent atoms are Li at (0.000, 0.000, 0.000), Li at (0.223, 0.500, 0.169), Ca at (0.021, 0.500, 0.561) and Cu at (0.314, 0.000, 0.943).